# 1
Below is an optimized crystal structure of Pr8Nd5Sn, with properties calculated at the PBE-GGA level.

Cell: 8.739 8.739 10.538 Å, 126.95 126.95 62.90°
Sites, in units of the cell vectors:
Pr (0.020, 0.020, 0.180)
Pr (0.022, 0.478, 0.909)
Pr (0.197, 0.481, 0.590)
Pr (0.471, 0.210, 0.861)
Pr (0.519, 0.803, 0.410)
Pr (0.522, 0.978, 0.091)
Pr (0.790, 0.529, 0.139)
Pr (0.980, 0.980, 0.820)
Nd (0.065, 0.935, 0.500)
Nd (0.274, 0.422, 0.284)
Nd (0.578, 0.726, 0.716)
Nd (0.640, 0.234, 0.590)
Nd (0.766, 0.360, 0.410)
Sn (0.316, 0.684, 0.000)

Total magnetic moment ... 0.00 μB/cell
Total energy ... -0.170 hartree per atom

---

# 2
Below is an optimized crystal structure of Pr6Nd12Sn, with properties calculated at the PBE-GGA level.

Cell: 8.749 8.749 8.749 Å, 88.78 88.78 88.78°
Sites, in units of the cell vectors:
Pr (0.202, 0.758, 0.594)
Pr (0.242, 0.406, 0.798)
Pr (0.406, 0.798, 0.242)
Pr (0.594, 0.202, 0.758)
Pr (0.758, 0.594, 0.202)
Pr (0.798, 0.242, 0.406)
Nd (0.037, 0.932, 0.282)
Nd (0.068, 0.718, 0.963)
Nd (0.141, 0.484, 0.318)
Nd (0.282, 0.037, 0.932)
Nd (0.318, 0.141, 0.484)
Nd (0.484, 0.318, 0.141)
Nd (0.516, 0.682, 0.859)
Nd (0.682, 0.859, 0.516)
Nd (0.718, 0.963, 0.068)
Nd (0.859, 0.516, 0.682)
Nd (0.932, 0.282, 0.037)
Nd (0.963, 0.068, 0.718)
Sn (0.500, 0.500, 0.500)

Total magnetic moment ... 0.00 μB/cell
Total energy ... -0.173 hartree per atom

---

# 3
Below is an optimized crystal structure of Pr4Nd3Sn4, with properties calculated at the PBE-GGA level.

Cell: 10.988 10.988 10.988 Å, 160.56 127.08 56.91°
Sites, in units of the cell vectors:
Pr (0.011, 0.834, 0.176)
Pr (0.342, 0.166, 0.176)
Pr (0.658, 0.834, 0.824)
Pr (0.989, 0.166, 0.824)
Nd (0.000, 0.500, 0.500)
Nd (0.410, 0.410, 0.000)
Nd (0.590, 0.590, 0.000)
Sn (0.275, 0.775, 0.500)
Sn (0.276, 0.000, 0.276)
Sn (0.724, 0.000, 0.724)
Sn (0.725, 0.225, 0.500)

Total magnetic moment ... 0.00 μB/cell
Total energy ... -0.186 hartree per atom

---

# 4
Below is an optimized crystal structure of PrNd5Sn5, with properties calculated at the PBE-GGA level.

Cell: 7.915 7.915 8.799 Å, 105.98 105.98 47.50°
Sites, in units of the cell vectors:
Pr (0.000, 0.000, 0.000)
Nd (0.000, 0.000, 0.500)
Nd (0.330, 0.330, 0.163)
Nd (0.334, 0.334, 0.666)
Nd (0.666, 0.666, 0.334)
Nd (0.670, 0.670, 0.837)
Sn (0.164, 0.164, 0.827)
Sn (0.166, 0.166, 0.337)
Sn (0.500, 0.500, 0.000)
Sn (0.834, 0.834, 0.663)
Sn (0.836, 0.836, 0.173)

Total magnetic moment ... 0.50 μB/cell
Total energy ... -0.180 hartree per atom

---

- Number 4 is which compound?
  PrNd5Sn5